{"formula": "ZrTaCrO6", "functional": "PBE with a Hubbard U", "state": "relaxed", "sg": "P4_2nm", "total_energy_ev_per_cell": -164.810, "lattice": [[-2.301, -3.448, -2.397], [3.813, -0.571, -2.839], [3.455, -6.432, 5.933]], "species": ["O", "O", "Ta", "Zr", "O", "O", "O", "O", "O", "Ta", "O", "O", "O", "O", "Zr", "O", "Cr", "Cr"], "fractional_positions": [[0.798, 0.202, 0.838], [0.298, 0.298, 0.338], [0.500, 0.500, 0.835], [0.500, 0.500, 0.170], [0.802, 0.198, 0.490], [0.202, 0.798, 0.838], [0.698, 0.698, 0.990], [0.702, 0.702, 0.338], [0.313, 0.313, 0.669], [0.000, 0.000, 0.335], [0.187, 0.813, 0.169], [0.302, 0.302, 0.990], [0.198, 0.802, 0.490], [0.687, 0.687, 0.669], [0.000, 0.000, 0.670], [0.813, 0.187, 0.169], [0.000, 0.000, 0.000], [0.500, 0.500, 0.500]]}

---

{"formula": "ZrTaCr2O8", "functional": "PBE with a Hubbard U", "state": "relaxed", "sg": "Cmmm", "total_energy_ev_per_cell": -104.180, "lattice": [[4.709, -0.017, -0.003], [0.017, 4.708, -0.005], [0.004, 0.007, 6.253]], "species": ["O", "Cr", "Ta", "Cr", "O", "O", "O", "O", "Zr", "O", "O", "O"], "fractional_positions": [[0.315, 0.315, 0.500], [0.500, 0.500, 0.249], [0.000, 0.000, 0.000], [0.500, 0.500, 0.751], [0.305, 0.305, 0.000], [0.199, 0.801, 0.237], [0.695, 0.695, 0.000], [0.801, 0.199, 0.763], [0.000, 0.000, 0.500], [0.801, 0.199, 0.237], [0.685, 0.685, 0.500], [0.199, 0.801, 0.763]]}

---

{"formula": "Tb3Cr5O12", "functional": "PBE with a Hubbard U", "state": "relaxed", "sg": "Ia-3d", "total_energy_ev_per_cell": -637.706, "lattice": [[-10.514, -0.888, -2.763], [3.044, -8.844, 5.612], [1.399, 8.883, 6.173]], "species": ["O", "O", "O", "Tb", "Tb", "O", "O", "Tb", "O", "O", "O", "O", "O", "Tb", "O", "Cr", "Cr", "O", "O", "O", "O", "O", "Cr", "Cr", "O", "O", "Cr", "Tb", "Tb", "O", "O", "Cr", "O", "Tb", "O", "O", "O", "O", "Cr", "Cr", "O", "O", "Tb", "Cr", "Cr", "O", "Cr", "O", "O", "Cr", "O", "O", "Cr", "O", "Tb", "O", "O", "O", "O", "Cr", "O", "Tb", "O", "O", "Cr", "O", "O", "Cr", "Tb", "O", "O", "Cr", "O", "Tb", "O", "Cr", "Cr", "O", "O", "Cr"], "fractional_positions": [[0.630, 0.030, 0.204], [0.826, 0.900, 0.030], [0.400, 0.030, 0.326], [0.125, 0.250, 0.875], [0.875, 0.125, 0.250], [0.326, 0.796, 0.426], [0.870, 0.296, 0.470], [0.875, 0.750, 0.125], [0.400, 0.370, 0.574], [0.674, 0.204, 0.574], [0.074, 0.174, 0.204], [0.370, 0.400, 0.074], [0.426, 0.130, 0.600], [0.375, 0.625, 0.250], [0.074, 0.900, 0.370], [0.375, 0.250, 0.125], [0.625, 0.875, 0.250], [0.296, 0.870, 0.970], [0.870, 0.574, 0.900], [0.130, 0.426, 0.100], [0.926, 0.826, 0.796], [0.796, 0.470, 0.370], [0.125, 0.375, 0.250], [0.000, 0.000, 0.000], [0.600, 0.630, 0.426], [0.204, 0.530, 0.630], [0.875, 0.250, 0.625], [0.625, 0.250, 0.375], [0.750, 0.875, 0.625], [0.370, 0.970, 0.796], [0.030, 0.400, 0.826], [0.500, 0.000, 0.500], [0.174, 0.074, 0.704], [0.250, 0.125, 0.375], [0.204, 0.674, 0.074], [0.900, 0.826, 0.530], [0.704, 0.130, 0.030], [0.826, 0.926, 0.296], [0.500, 0.000, 0.000], [0.500, 0.500, 0.000], [0.574, 0.870, 0.400], [0.674, 0.470, 0.600], [0.625, 0.375, 0.750], [0.625, 0.750, 0.875], [0.250, 0.375, 0.625], [0.100, 0.926, 0.130], [0.125, 0.750, 0.375], [0.426, 0.296, 0.326], [0.796, 0.326, 0.926], [0.250, 0.875, 0.125], [0.470, 0.796, 0.870], [0.470, 0.674, 0.100], [0.000, 0.000, 0.500], [0.926, 0.100, 0.630], [0.750, 0.375, 0.125], [0.100, 0.174, 0.470], [0.530, 0.326, 0.900], [0.296, 0.426, 0.826], [0.630, 0.600, 0.926], [0.375, 0.125, 0.750], [0.326, 0.530, 0.400], [0.250, 0.625, 0.875], [0.704, 0.574, 0.174], [0.030, 0.630, 0.704], [0.000, 0.500, 0.500], [0.970, 0.600, 0.174], [0.174, 0.100, 0.970], [0.875, 0.625, 0.750], [0.375, 0.750, 0.625], [0.600, 0.970, 0.674], [0.900, 0.074, 0.870], [0.500, 0.500, 0.500], [0.130, 0.704, 0.530], [0.125, 0.875, 0.750], [0.530, 0.204, 0.130], [0.750, 0.125, 0.875], [0.000, 0.500, 0.000], [0.574, 0.704, 0.674], [0.970, 0.370, 0.296], [0.750, 0.625, 0.375]]}

---

{"formula": "Tb3CrO6", "functional": "PBE with a Hubbard U", "state": "relaxed", "sg": "Cmc2_1", "total_energy_ev_per_cell": -163.851, "lattice": [[5.506, 0.000, 0.000], [0.000, 7.089, 0.102], [0.000, -1.482, 6.933]], "species": ["O", "Tb", "Tb", "Cr", "O", "O", "Tb", "O", "Tb", "O", "O", "Tb", "O", "Tb", "O", "O", "O", "O", "Cr", "O"], "fractional_positions": [[0.772, 0.987, 0.013], [0.473, 0.913, 0.681], [0.421, 0.396, 0.604], [0.483, 0.853, 0.147], [0.155, 0.096, 0.607], [0.197, 0.353, 0.328], [0.473, 0.319, 0.087], [0.697, 0.328, 0.353], [0.921, 0.604, 0.396], [0.161, 0.777, 0.223], [0.272, 0.013, 0.987], [0.973, 0.087, 0.319], [0.155, 0.393, 0.904], [0.973, 0.681, 0.913], [0.655, 0.607, 0.096], [0.655, 0.904, 0.393], [0.661, 0.223, 0.777], [0.197, 0.672, 0.647], [0.983, 0.147, 0.853], [0.697, 0.647, 0.672]]}

---

{"formula": "TbCr2O2", "functional": "PBE with a Hubbard U", "state": "relaxed", "sg": "I4_1/amd", "total_energy_ev_per_cell": -135.330, "lattice": [[-4.467, 4.467, 4.798], [4.467, -4.467, 4.798], [4.467, 4.467, -4.798]], "species": ["Cr", "Tb", "O", "Cr", "Cr", "O", "O", "O", "Cr", "Cr", "O", "Tb", "O", "O", "Tb", "O", "Cr", "Tb", "Cr", "Cr"], "fractional_positions": [[0.958, 0.765, 0.193], [0.875, 0.625, 0.750], [0.573, 0.918, 0.655], [0.515, 0.822, 0.307], [0.235, 0.428, 0.193], [0.668, 0.513, 0.845], [0.082, 0.737, 0.655], [0.263, 0.918, 0.345], [0.572, 0.765, 0.807], [0.792, 0.485, 0.307], [0.082, 0.427, 0.345], [0.875, 0.125, 0.250], [0.487, 0.332, 0.155], [0.668, 0.823, 0.155], [0.875, 0.125, 0.750], [0.177, 0.332, 0.845], [0.235, 0.042, 0.807], [0.375, 0.125, 0.250], [0.178, 0.485, 0.693], [0.515, 0.208, 0.693]]}

---

{"formula": "Tb2Cr2O7", "functional": "PBE with a Hubbard U", "state": "relaxed", "sg": "Fd-3m", "total_energy_ev_per_cell": -172.805, "lattice": [[6.183, 0.000, 3.570], [2.061, 5.829, 3.570], [0.000, 0.000, 7.139]], "species": ["O", "O", "O", "O", "Cr", "Cr", "O", "O", "Tb", "Tb", "Cr", "O", "O", "O", "O", "Tb", "O", "O", "Cr", "O", "Tb", "O"], "fractional_positions": [[0.796, 0.204, 0.796], [0.454, 0.454, 0.046], [0.204, 0.204, 0.796], [0.796, 0.204, 0.204], [0.125, 0.625, 0.125], [0.125, 0.125, 0.625], [0.046, 0.046, 0.454], [0.454, 0.046, 0.454], [0.625, 0.625, 0.625], [0.625, 0.125, 0.625], [0.125, 0.125, 0.125], [0.204, 0.796, 0.796], [0.204, 0.796, 0.204], [0.500, 0.500, 0.500], [0.454, 0.046, 0.046], [0.125, 0.625, 0.625], [0.750, 0.750, 0.750], [0.796, 0.796, 0.204], [0.625, 0.125, 0.125], [0.046, 0.454, 0.046], [0.625, 0.625, 0.125], [0.046, 0.454, 0.454]]}

---

{"formula": "Tb2CrO6", "functional": "PBE with a Hubbard U", "state": "relaxed", "sg": "P4_2/mnm", "total_energy_ev_per_cell": -134.028, "lattice": [[4.939, 0.000, 0.000], [0.000, 4.939, 0.000], [0.000, 0.000, 9.808]], "species": ["Tb", "O", "Tb", "O", "O", "O", "O", "O", "Tb", "O", "Tb", "O", "Cr", "O", "O", "O", "O", "Cr"], "fractional_positions": [[0.000, 0.000, 0.671], [0.683, 0.683, 0.360], [0.500, 0.500, 0.171], [0.683, 0.683, 0.640], [0.237, 0.763, 0.500], [0.183, 0.817, 0.140], [0.763, 0.237, 0.500], [0.263, 0.263, 0.000], [0.000, 0.000, 0.329], [0.817, 0.183, 0.140], [0.500, 0.500, 0.829], [0.183, 0.817, 0.860], [0.500, 0.500, 0.500], [0.737, 0.737, 0.000], [0.317, 0.317, 0.360], [0.817, 0.183, 0.860], [0.317, 0.317, 0.640], [0.000, 0.000, 0.000]]}

---

{"formula": "TbCrO3", "functional": "PBE with a Hubbard U", "state": "relaxed", "sg": "Pnma", "total_energy_ev_per_cell": -164.180, "lattice": [[5.326, 0.000, 0.000], [0.000, 5.618, 0.000], [0.000, 0.000, 7.675]], "species": ["Cr", "O", "O", "O", "Cr", "Tb", "Tb", "O", "Tb", "O", "O", "O", "O", "O", "Cr", "O", "Tb", "Cr", "O", "O"], "fractional_positions": [[0.500, 0.000, 0.500], [0.390, 0.961, 0.250], [0.694, 0.302, 0.057], [0.806, 0.802, 0.443], [0.000, 0.500, 0.000], [0.981, 0.067, 0.250], [0.019, 0.933, 0.750], [0.610, 0.039, 0.750], [0.519, 0.567, 0.250], [0.890, 0.539, 0.750], [0.194, 0.198, 0.943], [0.694, 0.302, 0.443], [0.306, 0.698, 0.943], [0.306, 0.698, 0.557], [0.000, 0.500, 0.500], [0.110, 0.461, 0.250], [0.481, 0.433, 0.750], [0.500, 0.000, 0.000], [0.806, 0.802, 0.057], [0.194, 0.198, 0.557]]}

---

{"formula": "TbCrTeO6", "functional": "PBE with a Hubbard U", "state": "relaxed", "sg": "P-31c", "e_above_lowest_polymorph_mev_per_atom": 269.0, "lattice": [[1.319, 1.439, -5.069], [-3.025, -4.427, 0.866], [-7.136, 4.778, -0.501]], "species": ["O", "Te", "O", "O", "Cr", "O", "Te", "O", "O", "O", "O", "Tb", "Cr", "O", "O", "O", "O", "Tb"], "fractional_positions": [[0.690, 0.646, 0.877], [0.333, 0.667, 0.250], [0.690, 0.045, 0.623], [0.955, 0.310, 0.877], [0.000, 0.000, 0.000], [0.045, 0.690, 0.123], [0.667, 0.333, 0.750], [0.310, 0.354, 0.123], [0.646, 0.955, 0.123], [0.354, 0.045, 0.877], [0.646, 0.690, 0.377], [0.667, 0.333, 0.250], [0.000, 0.000, 0.500], [0.354, 0.310, 0.623], [0.955, 0.646, 0.623], [0.310, 0.955, 0.377], [0.045, 0.354, 0.377], [0.333, 0.667, 0.750]]}

---

{"formula": "TbCr2TeO8", "functional": "PBE with a Hubbard U", "state": "relaxed", "sg": "Cmmm", "total_energy_ev_per_cell": -83.945, "lattice": [[-3.207, 3.065, 1.597], [0.120, -1.967, 4.282], [4.733, 4.051, 1.728]], "species": ["O", "O", "O", "Te", "O", "Cr", "Cr", "O", "O", "O", "Tb", "O"], "fractional_positions": [[0.801, 0.199, 0.221], [0.199, 0.801, 0.779], [0.672, 0.672, 0.500], [0.000, 0.000, 0.000], [0.298, 0.298, 0.000], [0.500, 0.500, 0.750], [0.500, 0.500, 0.250], [0.702, 0.702, 0.000], [0.328, 0.328, 0.500], [0.801, 0.199, 0.779], [0.000, 0.000, 0.500], [0.199, 0.801, 0.221]]}

---

{"formula": "TbCrTeO6", "functional": "PBE with a Hubbard U", "state": "relaxed", "sg": "P-31c", "e_above_lowest_polymorph_mev_per_atom": 0.0, "lattice": [[2.597, -4.498, 0.000], [2.597, 4.498, 0.000], [0.000, 0.000, 9.862]], "species": ["O", "Te", "O", "O", "Tb", "O", "Tb", "Cr", "O", "O", "O", "O", "Cr", "Te", "O", "O", "O", "O"], "fractional_positions": [[0.634, 0.990, 0.640], [0.667, 0.333, 0.250], [0.356, 0.990, 0.860], [0.366, 0.010, 0.360], [0.000, 0.000, 0.500], [0.366, 0.356, 0.140], [0.000, 0.000, 0.000], [0.667, 0.333, 0.750], [0.990, 0.634, 0.140], [0.356, 0.366, 0.640], [0.644, 0.634, 0.360], [0.990, 0.356, 0.360], [0.333, 0.667, 0.250], [0.333, 0.667, 0.750], [0.634, 0.644, 0.860], [0.010, 0.366, 0.860], [0.010, 0.644, 0.640], [0.644, 0.010, 0.140]]}

---

{"formula": "TbTlCr2O6", "functional": "PBE with a Hubbard U", "state": "relaxed", "sg": "Cm", "total_energy_ev_per_cell": -71.794, "lattice": [[5.507, 0.052, -0.027], [2.794, 4.745, -0.028], [2.752, 1.590, 4.486]], "species": ["O", "O", "Tl", "O", "O", "Cr", "O", "Cr", "Tb", "O"], "fractional_positions": [[0.702, 0.197, 0.768], [0.885, 0.647, 0.208], [0.286, 0.246, 0.198], [0.700, 0.199, 0.267], [0.149, 0.384, 0.705], [0.512, 0.513, 0.455], [0.333, 0.832, 0.634], [0.019, 0.020, 0.948], [0.740, 0.792, 0.698], [0.335, 0.830, 0.134]]}

---

{"formula": "TbUCrO6", "functional": "PBE with a Hubbard U", "state": "relaxed", "sg": "P-31c", "total_energy_ev_per_cell": -159.153, "lattice": [[5.379, 0.000, 0.000], [-2.689, 4.658, 0.000], [0.000, 0.000, 9.827]], "species": ["O", "O", "O", "O", "Cr", "O", "O", "O", "Tb", "O", "O", "O", "O", "U", "O", "Tb", "Cr", "U"], "fractional_positions": [[0.991, 0.644, 0.862], [0.991, 0.347, 0.638], [0.644, 0.653, 0.138], [0.009, 0.653, 0.362], [0.333, 0.667, 0.250], [0.653, 0.009, 0.862], [0.347, 0.991, 0.138], [0.644, 0.991, 0.362], [0.000, 0.000, 0.000], [0.356, 0.347, 0.862], [0.009, 0.356, 0.138], [0.653, 0.644, 0.638], [0.347, 0.356, 0.362], [0.333, 0.667, 0.750], [0.356, 0.009, 0.638], [0.000, 0.000, 0.500], [0.667, 0.333, 0.750], [0.667, 0.333, 0.250]]}

---

{"formula": "TbUCr2O8", "functional": "PBE with a Hubbard U", "state": "relaxed", "sg": "Cmmm", "total_energy_ev_per_cell": -100.468, "lattice": [[4.811, 0.024, -0.011], [0.085, 4.811, -0.012], [0.015, 0.017, 6.614]], "species": ["O", "O", "U", "O", "Cr", "O", "O", "O", "O", "Cr", "O", "Tb"], "fractional_positions": [[0.310, 0.310, 0.000], [0.206, 0.795, 0.767], [0.000, 0.000, 0.000], [0.327, 0.328, 0.500], [0.500, 0.500, 0.742], [0.206, 0.795, 0.233], [0.673, 0.672, 0.500], [0.794, 0.205, 0.233], [0.794, 0.205, 0.767], [0.500, 0.500, 0.258], [0.690, 0.690, 0.000], [0.000, 0.000, 0.500]]}

---

{"formula": "TbYCr2O8", "functional": "PBE with a Hubbard U", "state": "relaxed", "sg": "I-4m2", "total_energy_ev_per_cell": -93.625, "lattice": [[-0.319, -5.504, 2.391], [5.293, 2.816, 0.404], [-3.907, 3.371, 3.079]], "species": ["O", "Tb", "O", "O", "Cr", "O", "Cr", "Y", "O", "O", "O", "O"], "fractional_positions": [[0.924, 0.608, 0.684], [0.250, 0.750, 0.500], [0.924, 0.240, 0.316], [0.392, 0.076, 0.316], [0.500, 0.500, 0.000], [0.326, 0.509, 0.184], [0.750, 0.250, 0.500], [0.000, 0.000, 0.000], [0.491, 0.674, 0.816], [0.858, 0.674, 0.184], [0.760, 0.076, 0.684], [0.326, 0.142, 0.816]]}